Compound: FeCo2Cu
Source: Alexandria
Functional: GGA-PBE
Structure: optimized geometry

## Properties
Calculated density (g/cm3): 8.54
Crystal system: orthorhombic
V (A^3/atom): 11.53
ΔE_f (eV per formula unit): 0.3
Total energy (eV for the cell shown): -26.483

Cell lengths 2.4579, 2.4579, 8.0631 Å; angles 90.00, 90.00, 108.83 degrees
Last column: magnetic moment on the atom in μB.
Atoms (fractional coordinates):
Co (0.0000, 0.0000, 0.9936)  1.75
Co (0.0000, 0.0000, 0.5064)  1.75
Cu (0.5000, 0.5000, 0.2500)  0.04
Fe (0.5000, 0.5000, 0.7500)  2.67

Compound: AlAs
Source: Alexandria
Functional: GGA-PBE
Structure: optimized geometry

## Properties
Calculated density (g/cm3): 3.42
Crystal system: tetragonal
V (A^3/atom): 24.73
ΔE_f (eV per formula unit): -0.9
Total energy (eV for the cell shown): -36.986

Cell lengths 6.9728, 6.9728, 4.0690 Å; angles 90.00, 90.00, 90.00 degrees
Atoms (fractional coordinates):
Al (0.8273, 0.1727, 0.0000)
Al (0.3273, 0.3273, 0.5000)
Al (0.6727, 0.6727, 0.5000)
Al (0.1727, 0.8273, 0.0000)
As (0.8143, 0.8143, 0.0000)
As (0.3143, 0.6857, 0.5000)
As (0.6857, 0.3143, 0.5000)
As (0.1857, 0.1857, 0.0000)

Compound: YHoAgRu
Source: Alexandria
Functional: GGA-PBE
Structure: optimized geometry

## Properties
Calculated density (g/cm3): 8.92
Polymorph energy (0 for the lowest one) (meV/atom): 59.5
Crystal system: cubic
V (A^3/atom): 21.53
ΔE_f (eV per formula unit): -1.4
Total energy (eV for the cell shown): -24.573

Cell lengths 4.9571, 4.9571, 4.9571 Å; angles 60.00, 60.00, 60.00 degrees
Atoms (fractional coordinates):
Y (0.5000, 0.5000, 0.5000)
Ru (0.7500, 0.7500, 0.7500)
Ho (0.0000, 0.0000, 0.0000)
Ag (0.2500, 0.2500, 0.2500)

Compound: SrZnNiH6
Source: Alexandria
Functional: GGA-PBE
Structure: optimized geometry

## Properties
Calculated density (g/cm3): 4.30
Crystal system: hexagonal
V (A^3/atom): 9.35
Total energy (eV for the cell shown): -30.596

Cell lengths 4.5316, 4.5316, 4.7316 Å; angles 90.00, 90.00, 60.00 degrees
Atoms (fractional coordinates):
Sr (0.0000, 0.0000, 0.0000)
Zn (0.6666, 0.6667, 0.5000)
Ni (0.3333, 0.3333, 0.5000)
H (0.0260, 0.4871, 0.2637)
H (0.4870, 0.0260, 0.7363)
H (0.4869, 0.4871, 0.7363)
H (0.0260, 0.4869, 0.7363)
H (0.4870, 0.4869, 0.2637)
H (0.4869, 0.0260, 0.2637)